VASP calculation (GGA-PBEsol) on crystalline YAgCl2 at its relaxed geometry.

a b c (Å): 3.6172 3.9004 14.3633
angles (deg): 90.00 90.00 90.00
Last column: nearest neighbours and their distance in Å.
Space group Amm2 (No. 38)
Unique sites:
Y  0.0000  0.0000  0.0000 [2 per cell]  3 Cl 2.60-2.62
Ag  0.5000  0.0000  0.3992 [2 per cell]  4 Cl 2.90, 4 Y 3.03
Cl  0.0000  0.0000  0.8188 [2 per cell]  1 Y 2.60, 4 Ag 2.90
Cl  0.5000  0.0000  0.1317 [2 per cell]  2 Y 2.62

* N(E_F): 0.036 states/eV/atom
* energy relative to the elements, uncorrected: -459.2 kJ/mol of formula units
* total DFT energy (no corrections): -37.8 eV for the cell shown
* total moment: 0.00 μB per formula unit

VASP calculation (GGA-PBEsol) on crystalline YAg2Cl at its relaxed geometry.

a b c (Å): 3.8451 3.8451 10.8601
angles (deg): 90.00 90.00 90.00
Last column: nearest neighbours and their distance in Å.
Space group I4/mmm (No. 139)
Unique sites:
Y  0.0000  0.0000  0.0000 [2 per cell]  4 Cl 2.72
Ag  0.0000  0.5000  0.2500 [4 per cell]  4 Ag 2.72
Cl  0.0000  0.0000  0.5000 [2 per cell]  4 Y 2.72

* N(E_F): 0.518 states/eV/atom
* energy relative to the elements, uncorrected: -209.1 kJ/mol of formula units
* total DFT energy (no corrections): -35.2 eV for the cell shown
* total moment: 0.00 μB per formula unit

VASP calculation (GGA-PBEsol) on crystalline YAgCl2 at its relaxed geometry.

a b c (Å): 3.5360 3.5360 7.1330
angles (deg): 90.00 90.00 90.00
Last column: nearest neighbours and their distance in Å.
Space group P4mm (No. 99)
Unique sites:
Y  0.0000  0.0000  0.0000 [1 per cell]  5 Cl 2.77-3.01, 4 Ag 2.99
Ag  0.5000  0.5000  0.2305 [1 per cell]  4 Cl 2.74, 4 Y 2.99
Cl  0.0000  0.0000  0.3876 [1 per cell]  4 Ag 2.74, 1 Y 2.77
Cl  0.5000  0.5000  0.7642 [1 per cell]  4 Y 3.01, 1 Ag 3.33

* N(E_F): 0.434 states/eV/atom
* energy relative to the elements, uncorrected: -408.9 kJ/mol of formula units
* total DFT energy (no corrections): -18.4 eV for the cell shown
* total moment: 0.00 μB per formula unit

VASP calculation (GGA-PBEsol) on crystalline YAg2Cl at its relaxed geometry.

a b c (Å): 3.9889 4.0000 5.4225
angles (deg): 90.00 90.00 90.00
Last column: nearest neighbours and their distance in Å.
Space group Pmmm (No. 47)
Unique sites:
Y  0.0000  0.0000  0.0000 [1 per cell]  2 Cl 2.71
Ag  0.5000  0.5000  0.2467 [2 per cell]  2 Ag 2.68-2.75
Cl  0.0000  0.0000  0.5000 [1 per cell]  2 Y 2.71

* N(E_F): 0.849 states/eV/atom
* energy relative to the elements, uncorrected: -130.5 kJ/mol of formula units
* total DFT energy (no corrections): -16.8 eV for the cell shown
* total moment: 0.00 μB per formula unit

VASP calculation (GGA-PBEsol) on crystalline YAg3Cl6 at its relaxed geometry.

a b c (Å): 6.7754 6.7754 18.0353
angles (deg): 90.00 90.00 120.00
Last column: nearest neighbours and their distance in Å.
Space group R-3 (No. 148, hexagonal axes)
Unique sites:
Y  0.0000  0.0000  0.0000 [3 per cell]  6 Cl 2.62
Ag  0.0000  0.0000  0.1944 [6 per cell]  6 Cl 2.59-2.89
Ag  0.0000  0.0000  0.5000 [3 per cell]  6 Cl 2.69
Cl  0.0125  0.3614  0.7522 [18 per cell]  3 Ag 2.59-2.89, 1 Y 2.62

* N(E_F): 0.000 states/eV/atom
* energy relative to the elements, uncorrected: -1082.9 kJ/mol of formula units
* total DFT energy (no corrections): -120.1 eV for the cell shown
* total moment: 0.00 μB per formula unit

VASP calculation (GGA-PBEsol) on crystalline YAgCl2 at its relaxed geometry.

a b c (Å): 4.6015 4.6015 17.6731
angles (deg): 90.00 90.00 90.00
Last column: nearest neighbours and their distance in Å.
Space group I-42d (No. 122)
Unique sites:
Y  0.0000  0.0000  0.0000 [4 per cell]  4 Cl 2.70
Ag  0.0000  0.0000  0.5000 [4 per cell]  4 Cl 2.79
Cl  0.2247  0.2500  0.1250 [8 per cell]  2 Y 2.70, 2 Ag 2.79

* N(E_F): 0.328 states/eV/atom
* energy relative to the elements, uncorrected: -348.5 kJ/mol of formula units
* total DFT energy (no corrections): -71.0 eV for the cell shown
* total moment: 0.00 μB per formula unit

VASP calculation (GGA-PBEsol) on crystalline YZrAg2Cl at its relaxed geometry.

a b c (Å): 5.2543 5.2543 4.8260
angles (deg): 90.00 90.00 90.00
Last column: nearest neighbours and their distance in Å.
Space group P4/mmm (No. 123)
Unique sites:
Y  0.0000  0.0000  0.0000 [1 per cell]  2 Cl 2.41, 4 Ag 2.63
Zr  0.5000  0.5000  0.5000 [1 per cell]  8 Ag 3.57, 4 Cl 3.72
Ag  0.0000  0.5000  0.0000 [2 per cell]  2 Y 2.63
Cl  0.0000  0.0000  0.5000 [1 per cell]  2 Y 2.41

* N(E_F): 0.917 states/eV/atom
* energy relative to the elements, uncorrected: 261.8 kJ/mol of formula units
* total DFT energy (no corrections): -21.8 eV for the cell shown
* total moment: 1.62 μB per formula unit

VASP calculation (GGA-PBEsol) on crystalline ZnAgCl at its relaxed geometry.

a b c (Å): 6.4172 6.4172 6.4172
angles (deg): 90.00 90.00 90.00
Last column: nearest neighbours and their distance in Å.
Space group F-43m (No. 216)
Unique sites:
Zn  0.0000  0.0000  0.0000 [4 per cell]  4 Cl 2.78
Ag  0.0000  0.0000  0.5000 [4 per cell]  4 Cl 2.78
Cl  0.2500  0.2500  0.7500 [4 per cell]  4 Zn 2.78, 4 Ag 2.78

* N(E_F): 0.075 states/eV/atom
* energy relative to the elements, uncorrected: 87.9 kJ/mol of formula units
* total DFT energy (no corrections): -24.0 eV for the cell shown
* total moment: 0.00 μB per formula unit

VASP calculation (GGA-PBEsol) on crystalline ZnAg3Cl at its relaxed geometry.

a b c (Å): 4.8054 4.8054 4.8054
angles (deg): 90.00 90.00 90.00
Last column: nearest neighbours and their distance in Å.
Space group Pm-3m (No. 221)
Unique sites:
Zn  0.0000  0.0000  0.0000 [1 per cell]  6 Ag 2.40
Ag  0.0000  0.0000  0.5000 [3 per cell]  2 Zn 2.40
Cl  0.5000  0.5000  0.5000 [1 per cell]  12 Ag 3.40

* N(E_F): 0.600 states/eV/atom
* energy relative to the elements, uncorrected: 253.0 kJ/mol of formula units
* total DFT energy (no corrections): -10.9 eV for the cell shown
* total moment: 0.00 μB per formula unit

VASP calculation (GGA-PBEsol) on crystalline ZnAg2Cl at its relaxed geometry.

a b c (Å): 3.0968 3.0534 7.5694
angles (deg): 90.00 90.02 90.00
Last column: nearest neighbours and their distance in Å.
Space group Pm (No. 6)
Unique sites:
Zn  0.0000  0.0000  0.0000 [1 per cell]  2 Cl 2.41, 4 Ag 2.69
Ag  0.0000  0.0000  0.5464 [1 per cell]  2 Cl 2.74, 6 Ag 2.85-3.05
Ag  0.5001  0.5000  0.7899 [1 per cell]  4 Zn 2.69, 4 Ag 2.85
Cl  0.0018  0.5000  0.2462 [1 per cell]  2 Zn 2.41

* N(E_F): 0.244 states/eV/atom
* energy relative to the elements, uncorrected: -49.1 kJ/mol of formula units
* total DFT energy (no corrections): -10.7 eV for the cell shown
* total moment: 0.00 μB per formula unit

VASP calculation (GGA-PBEsol) on crystalline ZnAgCl at its relaxed geometry.

a b c (Å): 3.0843 3.0843 11.1197
angles (deg): 90.00 90.00 90.00
Last column: nearest neighbours and their distance in Å.
Space group I4mm (No. 107)
Unique sites:
Zn  0.0000  0.0000  0.0000 [2 per cell]  4 Ag 2.70, 4 Cl 2.74
Ag  0.0000  0.0000  0.6431 [2 per cell]  4 Zn 2.70
Cl  0.0000  0.0000  0.3510 [2 per cell]  4 Zn 2.74

* N(E_F): 0.185 states/eV/atom
* energy relative to the elements, uncorrected: -39.2 kJ/mol of formula units
* total DFT energy (no corrections): -14.6 eV for the cell shown
* total moment: 0.00 μB per formula unit

VASP calculation (GGA-PBEsol) on crystalline ZnAg2Cl at its relaxed geometry.

a b c (Å): 3.0017 3.0017 7.6519
angles (deg): 90.00 90.00 90.00
Last column: nearest neighbours and their distance in Å.
Space group P4mm (No. 99)
Unique sites:
Zn  0.0000  0.0000  0.0000 [1 per cell]  4 Cl 2.71, 4 Ag 2.74, 4 Zn 3.00
Ag  0.0000  0.0000  0.4767 [1 per cell]  8 Ag 2.86-3.00, 4 Cl 3.15
Ag  0.5000  0.5000  0.2267 [1 per cell]  4 Zn 2.74, 8 Ag 2.86-3.00
Cl  0.5000  0.5000  0.7801 [1 per cell]  4 Zn 2.71, 4 Cl 3.00

* N(E_F): 0.295 states/eV/atom
* energy relative to the elements, uncorrected: -18.5 kJ/mol of formula units
* total DFT energy (no corrections): -10.4 eV for the cell shown
* total moment: 0.00 μB per formula unit

VASP calculation (GGA-PBEsol) on crystalline ZnAg2Cl at its relaxed geometry.

a b c (Å): 3.6884 3.6884 10.7155
angles (deg): 90.00 90.00 90.00
Last column: nearest neighbours and their distance in Å.
Space group I-4m2 (No. 119)
Unique sites:
Zn  0.0000  0.0000  0.0000 [2 per cell]  4 Ag 2.61
Ag  0.0000  0.0000  0.5000 [2 per cell]  4 Zn 2.61
Ag  0.0000  0.5000  0.2500 [2 per cell]  4 Cl 2.61
Cl  0.0000  0.5000  0.7500 [2 per cell]  4 Ag 2.61

* N(E_F): 0.209 states/eV/atom
* energy relative to the elements, uncorrected: 24.6 kJ/mol of formula units
* total DFT energy (no corrections): -19.9 eV for the cell shown
* total moment: 0.00 μB per formula unit

VASP calculation (GGA-PBEsol) on crystalline ZnAgCl at its relaxed geometry.

a b c (Å): 3.3084 3.3084 5.6816
angles (deg): 90.00 90.00 120.00
Last column: nearest neighbours and their distance in Å.
Space group P3m1 (No. 156)
Unique sites:
Zn  0.0000  0.0000  0.0000 [1 per cell]  3 Cl 2.54, 3 Ag 2.60
Ag  0.6667  0.3333  0.6898 [1 per cell]  3 Zn 2.60
Cl  0.3333  0.6667  0.2960 [1 per cell]  3 Zn 2.54

* N(E_F): 0.070 states/eV/atom
* energy relative to the elements, uncorrected: -79.0 kJ/mol of formula units
* total DFT energy (no corrections): -7.7 eV for the cell shown
* total moment: 0.00 μB per formula unit

VASP calculation (GGA-PBEsol) on crystalline Zr3AgCl at its relaxed geometry.

a b c (Å): 5.1345 5.1345 5.1345
angles (deg): 90.00 90.00 90.00
Last column: nearest neighbours and their distance in Å.
Space group Pm-3m (No. 221)
Unique sites:
Zr  0.0000  0.0000  0.5000 [3 per cell]  2 Ag 2.57
Ag  0.0000  0.0000  0.0000 [1 per cell]  6 Zr 2.57
Cl  0.5000  0.5000  0.5000 [1 per cell]  12 Zr 3.63

* N(E_F): 1.249 states/eV/atom
* energy relative to the elements, uncorrected: 460.2 kJ/mol of formula units
* total DFT energy (no corrections): -27.8 eV for the cell shown
* total moment: 1.95 μB per formula unit